# 1
VASP calculation (PBE) on a geometry-optimized CaY2AuN structure.

abc: 4.732 4.732 4.907
angles: 90.00 90.00 90.00
Atoms (fractional coordinates):
Y1 0.000 0.500 0.000
Y2 0.500 0.000 0.000
Ca1 0.000 0.000 0.500
Au1 0.500 0.500 0.500
N1 0.000 0.000 0.000

Values from the calculation:
Fermi-level density of states: 0.97 states/eV/atom
Uncorrected formation energy: -0.891 eV/atom
Volume: 21.98 Å³ per atom
Calculated total energy: -30.99 eV per formula unit
Space-group type: P4/mmm, No. 123


# 2
VASP calculation (PBE) on a geometry-optimized NaCaAu structure.

abc: 3.775 3.775 6.383
angles: 107.20 107.20 90.00
Atoms (fractional coordinates):
Na1 0.306 0.306 0.613
Ca1 0.585 0.585 0.171
Au1 0.958 0.958 0.916

Values from the calculation:
Fermi-level density of states: 0.54 states/eV/atom
Volume: 27.55 Å³ per atom
Calculated total energy: -7.77 eV per formula unit
Distance to the lowest polymorph of the same formula: 98 meV/atom
Formation enthalpy at 0 K: -0.391 eV/atom
Space-group type: I4mm, No. 107


# 3
VASP calculation (PBE) on a geometry-optimized NaCaAu structure.

abc: 4.607 3.889 10.138
angles: 101.39 90.00 90.00
Atoms (fractional coordinates):
Na1 0.750 0.298 0.599
Na2 0.250 0.702 0.401
Ca1 0.250 0.919 0.842
Ca2 0.750 0.081 0.158
Au1 0.250 0.547 0.093
Au2 0.750 0.453 0.907

Values from the calculation:
Fermi-level density of states: 0.47 states/eV/atom
Volume: 29.68 Å³ per atom
Calculated total energy: -8.07 eV per formula unit
Distance to the lowest polymorph of the same formula: 0 meV/atom
Formation enthalpy at 0 K: -0.489 eV/atom
Space-group type: P2_1/m, No. 11


# 4
VASP calculation (PBE) on a geometry-optimized Na3CaAu8 structure.

abc: 5.579 5.579 9.943
angles: 73.71 73.71 60.00
Atoms (fractional coordinates):
Na1 0.374 0.374 0.878
Na2 0.004 0.004 0.988
Na3 0.495 0.495 0.516
Ca1 0.876 0.876 0.372
Au1 0.936 0.438 0.188
Au2 0.439 0.938 0.686
Au3 0.438 0.438 0.188
Au4 0.938 0.938 0.686
Au5 0.187 0.187 0.438
Au6 0.688 0.688 0.937
Au7 0.438 0.936 0.188
Au8 0.938 0.439 0.686

Values from the calculation:
Fermi-level density of states: 0.28 states/eV/atom
Volume: 21.13 Å³ per atom
Calculated total energy: -37.44 eV per formula unit
Formation enthalpy at 0 K: -0.439 eV/atom
Space-group type: R3m, No. 160


# 5
VASP calculation (PBE) on a geometry-optimized NaCaAu3 structure.

abc: 5.582 5.582 5.582
angles: 90.00 90.00 90.00
Atoms (fractional coordinates):
Na1 0.500 0.500 0.500
Ca1 0.000 0.000 0.000
Au1 0.000 0.500 0.000
Au2 0.000 0.000 0.500
Au3 0.500 0.000 0.000

Values from the calculation:
Fermi-level density of states: 0.00 states/eV/atom
Volume: 34.79 Å³ per atom
Calculated total energy: -13.14 eV per formula unit
Distance to the lowest polymorph of the same formula: 278 meV/atom
Formation enthalpy at 0 K: 0.003 eV/atom
Space-group type: Pm-3m, No. 221


# 6
VASP calculation (PBE) on a geometry-optimized NaCaAu10 structure.

abc: 4.659 5.579 9.797
angles: 90.00 90.00 90.00
Atoms (fractional coordinates):
Na1 0.000 0.500 0.500
Ca1 0.000 0.000 0.000
Au1 0.000 0.000 0.335
Au2 0.000 0.500 0.833
Au3 0.000 0.500 0.167
Au4 0.000 0.000 0.665
Au5 0.500 0.000 0.500
Au6 0.500 0.500 0.000
Au7 0.500 0.248 0.248
Au8 0.500 0.752 0.752
Au9 0.500 0.752 0.248
Au10 0.500 0.248 0.752

Values from the calculation:
Fermi-level density of states: 0.24 states/eV/atom
Volume: 21.22 Å³ per atom
Calculated total energy: -39.75 eV per formula unit
Formation enthalpy at 0 K: -0.305 eV/atom
Space-group type: Pmmm, No. 47


# 7
VASP calculation (PBE) on a geometry-optimized NaCaAu structure.

abc: 5.003 5.003 5.003
angles: 60.00 60.00 60.00
Atoms (fractional coordinates):
Na1 0.500 0.500 0.500
Ca1 0.000 0.000 0.000
Au1 0.250 0.250 0.250

Values from the calculation:
Fermi-level density of states: 0.36 states/eV/atom
Volume: 29.52 Å³ per atom
Calculated total energy: -7.87 eV per formula unit
Distance to the lowest polymorph of the same formula: 64 meV/atom
Formation enthalpy at 0 K: -0.425 eV/atom
Space-group type: F-43m, No. 216


# 8
VASP calculation (PBE) on a geometry-optimized Na2CaAu structure.

abc: 4.395 4.395 12.246
angles: 79.66 79.66 90.00
Atoms (fractional coordinates):
Na1 0.657 0.125 0.250
Na2 0.093 0.625 0.250
Na3 0.375 0.343 0.750
Na4 0.875 0.907 0.750
Ca1 0.500 0.500 0.000
Ca2 0.250 0.750 0.500
Au1 0.000 0.000 0.000
Au2 0.750 0.250 0.500

Values from the calculation:
Fermi-level density of states: 0.54 states/eV/atom
Volume: 28.60 Å³ per atom
Calculated total energy: -8.69 eV per formula unit
Distance to the lowest polymorph of the same formula: 0 meV/atom
Formation enthalpy at 0 K: -0.193 eV/atom
Space-group type: I-42d, No. 122